Material: Cs2SrVO4
Method: DFT, PBE with a Hubbard U
State: relaxed

Cell: 6.245 7.337 13.202 Å, 84.22 76.32 64.82°
Positions (direct):
O 0.467 0.346 0.572
O 0.187 0.346 0.428
O 0.788 0.846 0.928
O 0.365 0.846 0.072
O 0.563 0.154 0.072
O 0.385 0.654 0.428
O 0.283 0.154 0.928
O 0.962 0.654 0.572
Sr 0.000 0.000 0.000
Sr 0.750 0.500 0.500
Cs 0.565 0.500 0.870
Cs 0.815 0.000 0.370
Cs 0.935 0.500 0.130
Cs 0.185 0.000 0.630
V 0.500 0.000 0.000
V 0.250 0.500 0.500

Calculated values
Total energy ... -0.4140 Ry/atom